This record from Alexandria describes an optimized crystal structure of Th3Al5Se12. The functional is PBE-GGA.

```
Th3Al5Se12
1.0
13.793 0.000 0.000
-4.598 13.004 0.000
-4.598 -6.502 11.262
Se Th Al
48 12 20
Direct
0.711 0.123 0.032
0.322 0.532 0.410
0.968 0.377 0.289
0.532 0.211 0.123
0.588 0.711 0.678
0.968 0.590 0.178
0.322 0.789 0.412
0.090 0.912 0.123
0.590 0.968 0.678
0.711 0.588 0.178
0.789 0.468 0.377
0.822 0.910 0.032
0.123 0.711 0.532
0.377 0.410 0.088
0.088 0.910 0.377
0.412 0.123 0.590
0.088 0.178 0.211
0.468 0.678 0.090
0.822 0.912 0.289
0.123 0.412 0.090
0.377 0.968 0.789
0.590 0.623 0.412
0.910 0.822 0.532
0.789 0.322 0.912
0.410 0.377 0.588
0.090 0.178 0.468
0.211 0.678 0.088
0.178 0.088 0.711
0.623 0.032 0.211
0.877 0.588 0.910
0.532 0.322 0.910
0.588 0.877 0.410
0.912 0.822 0.789
0.912 0.090 0.623
0.877 0.289 0.468
0.178 0.090 0.968
0.623 0.590 0.912
0.410 0.032 0.322
0.289 0.412 0.822
0.211 0.532 0.623
0.910 0.088 0.877
0.678 0.211 0.588
0.468 0.789 0.877
0.032 0.410 0.822
0.412 0.289 0.322
0.032 0.623 0.711
0.678 0.468 0.590
0.289 0.877 0.968
0.750 0.375 0.125
0.875 0.750 0.125
0.375 0.750 0.625
0.250 0.125 0.375
0.875 0.125 0.250
0.375 0.625 0.250
0.625 0.375 0.750
0.125 0.875 0.750
0.750 0.875 0.625
0.625 0.250 0.375
0.125 0.250 0.875
0.250 0.625 0.875
0.125 0.375 0.250
0.000 0.500 0.000
0.000 0.000 0.000
0.375 0.250 0.125
0.500 0.000 0.500
0.500 0.500 0.000
0.125 0.750 0.375
0.750 0.125 0.875
0.750 0.625 0.375
0.375 0.125 0.750
0.625 0.875 0.250
0.500 0.500 0.500
0.500 0.000 0.000
0.000 0.000 0.500
0.250 0.375 0.625
0.250 0.875 0.125
0.000 0.500 0.500
0.875 0.250 0.625
0.625 0.750 0.875
0.875 0.625 0.750
```

Values from the calculation:
E_tot, eV per atom: -5.28
Total magnetization, Bohr magnetons per cell: 0.00
Fermi-level density of states, states/eV/cell: 31.217
Formation energy from raw total energies, eV/atom: -1.1375
Symmetry: Ia-3d (230)


This record from Alexandria describes an optimized crystal structure of PmAl3B4O12. The functional is PBE-GGA.

```
PmAl3B4O12
1.0
-2.600 4.698 2.581
-3.427 -4.613 1.574
5.020 -0.783 3.112
Pm Al B O
1 3 4 12
Direct
0.000 0.000 0.000
0.556 0.444 0.000
0.444 0.000 0.556
0.000 0.556 0.444
0.942 0.058 0.500
0.058 0.500 0.942
0.500 0.942 0.058
0.500 0.500 0.500
0.500 0.351 0.649
0.909 0.500 0.091
0.091 0.909 0.500
0.500 0.091 0.909
0.377 0.973 0.225
0.225 0.377 0.973
0.973 0.225 0.377
0.623 0.775 0.027
0.027 0.623 0.775
0.775 0.027 0.623
0.649 0.500 0.351
0.351 0.649 0.500
```

Values from the calculation:
E_tot, eV per atom: -7.93
Total magnetization, Bohr magnetons per cell: 0.00
Fermi-level density of states, states/eV/cell: 0.000
Formation energy from raw total energies, eV/atom: -2.8208
Symmetry: R32 (155)


- Which of these has the lowest formation energy from raw total energies?
  PmAl3B4O12